No. 1
## CeHoIrI (GGA-PBE)

Data for an optimized crystal structure of CeHoIrI. Values from VASP.

Space-group type: R3m (160)
Electronic total energy: -6.164 eV/atom
Density of states at the Fermi level: 20.2 states/eV per cell
Crystal system: trigonal

```
&SYSTEM
  ibrav = 0, nat = 12, ntyp = 4
/
ATOMIC_SPECIES
Ce 140.12 Ce.upf
Ho 164.93 Ho.upf
Ir 192.22 Ir.upf
I 126.90 I.upf
ATOMIC_POSITIONS crystal
Ce 0.000 0.000 0.000
Ce 0.333 0.667 0.667
Ce 0.667 0.333 0.333
Ho 0.000 0.000 0.213
Ho 0.333 0.667 0.880
Ho 0.667 0.333 0.546
Ir 0.000 0.000 0.607
Ir 0.333 0.667 0.273
Ir 0.667 0.333 0.940
I 0.000 0.000 0.439
I 0.333 0.667 0.106
I 0.667 0.333 0.773
CELL_PARAMETERS angstrom
4.125 0.000 0.000
-2.062 3.572 0.000
0.000 0.000 24.039
```

No. 2
## CeHoOsI (GGA-PBE)

Data for an optimized crystal structure of CeHoOsI. Values from VASP.

Space-group type: R3m (160)
Electronic total energy: -6.407 eV/atom
Density of states at the Fermi level: 11.0 states/eV per cell
Crystal system: trigonal

```
&SYSTEM
  ibrav = 0, nat = 12, ntyp = 4
/
ATOMIC_SPECIES
Ce 140.12 Ce.upf
Ho 164.93 Ho.upf
Os 190.23 Os.upf
I 126.90 I.upf
ATOMIC_POSITIONS crystal
Ce 0.000 0.000 0.000
Ce 0.333 0.667 0.667
Ce 0.667 0.333 0.333
Ho 0.000 0.000 0.787
Ho 0.333 0.667 0.454
Ho 0.667 0.333 0.121
Os 0.000 0.000 0.389
Os 0.333 0.667 0.056
Os 0.667 0.333 0.723
I 0.000 0.000 0.559
I 0.333 0.667 0.225
I 0.667 0.333 0.892
CELL_PARAMETERS angstrom
4.089 0.000 0.000
-2.044 3.541 0.000
0.000 0.000 23.853
```

No. 3
## CeHoRhI (GGA-PBE)

Data for an optimized crystal structure of CeHoRhI. Values from VASP.

Space-group type: R3m (160)
Electronic total energy: -5.732 eV/atom
Density of states at the Fermi level: 19.3 states/eV per cell
Crystal system: trigonal

```
&SYSTEM
  ibrav = 0, nat = 12, ntyp = 4
/
ATOMIC_SPECIES
Ce 140.12 Ce.upf
Ho 164.93 Ho.upf
Rh 102.91 Rh.upf
I 126.90 I.upf
ATOMIC_POSITIONS crystal
Ce 0.000 0.000 0.000
Ce 0.333 0.667 0.667
Ce 0.667 0.333 0.333
Ho 0.000 0.000 0.790
Ho 0.333 0.667 0.456
Ho 0.667 0.333 0.123
Rh 0.000 0.000 0.394
Rh 0.333 0.667 0.061
Rh 0.667 0.333 0.728
I 0.000 0.000 0.560
I 0.333 0.667 0.227
I 0.667 0.333 0.894
CELL_PARAMETERS angstrom
4.069 0.000 0.000
-2.035 3.524 0.000
0.000 0.000 24.187
```

No. 4
## CeHoRuI (GGA-PBE)

Data for an optimized crystal structure of CeHoRuI. Values from VASP.

Space-group type: R3m (160)
Electronic total energy: -6.009 eV/atom
Density of states at the Fermi level: 12.5 states/eV per cell
Crystal system: trigonal

```
&SYSTEM
  ibrav = 0, nat = 12, ntyp = 4
/
ATOMIC_SPECIES
Ce 140.12 Ce.upf
Ho 164.93 Ho.upf
Ru 101.07 Ru.upf
I 126.90 I.upf
ATOMIC_POSITIONS crystal
Ce 0.000 0.000 0.000
Ce 0.333 0.667 0.667
Ce 0.667 0.333 0.333
Ho 0.000 0.000 0.211
Ho 0.333 0.667 0.877
Ho 0.667 0.333 0.544
Ru 0.000 0.000 0.612
Ru 0.333 0.667 0.279
Ru 0.667 0.333 0.945
I 0.000 0.000 0.442
I 0.333 0.667 0.109
I 0.667 0.333 0.776
CELL_PARAMETERS angstrom
4.023 0.000 0.000
-2.012 3.484 0.000
0.000 0.000 24.104
```

No. 5
## CeHo2In4 (GGA-PBE)

Data for an optimized crystal structure of CeHo2In4. Values from VASP.

Space-group type: P4/mmm (123)
Electronic total energy: -3.979 eV/atom
ΔE_f: -0.258 eV/atom
Density of states at the Fermi level: 11.6 states/eV per cell
Crystal system: tetragonal

```
&SYSTEM
  ibrav = 0, nat = 7, ntyp = 3
/
ATOMIC_SPECIES
Ce 140.12 Ce.upf
Ho 164.93 Ho.upf
In 114.82 In.upf
ATOMIC_POSITIONS crystal
Ce 0.000 0.000 0.000
Ho 0.000 0.000 0.500
Ho 0.500 0.500 0.000
In 0.000 0.500 0.275
In 0.000 0.500 0.725
In 0.500 0.000 0.275
In 0.500 0.000 0.725
CELL_PARAMETERS angstrom
5.193 0.000 0.000
0.000 5.193 0.000
0.000 0.000 7.603
```

No. 6
## CeHo9In2 (GGA-PBE)

Data for an optimized crystal structure of CeHo9In2. Values from VASP.

Space-group type: P4/mmm (123)
Electronic total energy: -4.526 eV/atom
ΔE_f: -0.142 eV/atom
Density of states at the Fermi level: 16.5 states/eV per cell
Crystal system: tetragonal

```
&SYSTEM
  ibrav = 0, nat = 12, ntyp = 3
/
ATOMIC_SPECIES
Ce 140.12 Ce.upf
Ho 164.93 Ho.upf
In 114.82 In.upf
ATOMIC_POSITIONS crystal
Ce 0.000 0.000 0.000
Ho 0.000 0.500 0.172
Ho 0.000 0.500 0.500
Ho 0.000 0.500 0.828
Ho 0.500 0.000 0.172
Ho 0.500 0.000 0.500
Ho 0.500 0.000 0.828
Ho 0.500 0.500 0.000
Ho 0.500 0.500 0.338
Ho 0.500 0.500 0.662
In 0.000 0.000 0.339
In 0.000 0.000 0.661
CELL_PARAMETERS angstrom
4.839 0.000 0.000
0.000 4.839 0.000
0.000 0.000 14.877
```

No. 7
## CeHo4In4 (GGA-PBE)

Data for an optimized crystal structure of CeHo4In4. Values from VASP.

Space-group type: P4_2/nmc (137)
Electronic total energy: -4.042 eV/atom
ΔE_f: -0.131 eV/atom
Density of states at the Fermi level: 29.6 states/eV per cell
Crystal system: tetragonal

```
&SYSTEM
  ibrav = 0, nat = 18, ntyp = 3
/
ATOMIC_SPECIES
Ce 140.12 Ce.upf
Ho 164.93 Ho.upf
In 114.82 In.upf
ATOMIC_POSITIONS crystal
Ce 0.250 0.750 0.250
Ce 0.750 0.250 0.750
Ho 0.015 0.250 0.157
Ho 0.250 0.015 0.657
Ho 0.250 0.485 0.657
Ho 0.485 0.250 0.157
Ho 0.515 0.750 0.843
Ho 0.750 0.515 0.343
Ho 0.750 0.985 0.343
Ho 0.985 0.750 0.843
In 0.041 0.250 0.455
In 0.250 0.041 0.955
In 0.250 0.459 0.955
In 0.459 0.250 0.455
In 0.541 0.750 0.545
In 0.750 0.541 0.045
In 0.750 0.959 0.045
In 0.959 0.750 0.545
CELL_PARAMETERS angstrom
7.300 0.000 0.000
0.000 7.300 0.000
0.000 0.000 10.507
```

No. 8
## CeHo6In2 (GGA-PBE)

Data for an optimized crystal structure of CeHo6In2. Values from VASP.

Space-group type: I-42m (121)
Electronic total energy: -3.786 eV/atom
ΔE_f: 0.534 eV/atom
Density of states at the Fermi level: 14.0 states/eV per cell
Crystal system: tetragonal

```
&SYSTEM
  ibrav = 0, nat = 9, ntyp = 3
/
ATOMIC_SPECIES
Ce 140.12 Ce.upf
Ho 164.93 Ho.upf
In 114.82 In.upf
ATOMIC_POSITIONS crystal
Ce 0.000 0.000 0.000
Ho 0.237 0.634 0.000
Ho 0.250 0.750 0.500
Ho 0.366 0.366 0.603
Ho 0.634 0.237 0.000
Ho 0.750 0.250 0.500
Ho 0.763 0.763 0.397
In 0.313 0.313 0.000
In 0.687 0.687 0.000
CELL_PARAMETERS angstrom
-2.782 2.782 10.500
2.782 -2.782 10.500
2.782 2.782 -10.500
```

No. 9
## Ce2Ho3In3 (GGA-PBE)

Data for an optimized crystal structure of Ce2Ho3In3. Values from VASP.

Space-group type: P-1 (2)
Electronic total energy: -4.549 eV/atom
ΔE_f: -0.322 eV/atom
Density of states at the Fermi level: 11.9 states/eV per cell
Crystal system: triclinic

```
&SYSTEM
  ibrav = 0, nat = 8, ntyp = 3
/
ATOMIC_SPECIES
Ce 140.12 Ce.upf
Ho 164.93 Ho.upf
In 114.82 In.upf
ATOMIC_POSITIONS crystal
Ce 0.243 0.191 0.485
Ce 0.757 0.809 0.515
Ho 0.000 0.000 0.000
Ho 0.122 0.526 0.244
Ho 0.878 0.474 0.756
In 0.380 0.989 0.761
In 0.500 0.500 0.000
In 0.620 0.011 0.239
CELL_PARAMETERS angstrom
3.587 0.000 0.000
-0.001 5.443 0.000
-1.792 -2.608 11.170
```

No. 10
## Ce2Ho2In (GGA-PBE)

Data for an optimized crystal structure of Ce2Ho2In. Values from VASP.

Space-group type: I4/mmm (139)
Electronic total energy: -4.555 eV/atom
ΔE_f: 0.198 eV/atom
Density of states at the Fermi level: 16.4 states/eV per cell
Crystal system: tetragonal

```
&SYSTEM
  ibrav = 0, nat = 10, ntyp = 3
/
ATOMIC_SPECIES
Ce 140.12 Ce.upf
Ho 164.93 Ho.upf
In 114.82 In.upf
ATOMIC_POSITIONS crystal
Ce 0.000 0.500 0.250
Ce 0.000 0.500 0.750
Ce 0.500 0.000 0.250
Ce 0.500 0.000 0.750
Ho 0.000 0.000 0.092
Ho 0.000 0.000 0.908
Ho 0.500 0.500 0.408
Ho 0.500 0.500 0.592
In 0.000 0.000 0.500
In 0.500 0.500 0.000
CELL_PARAMETERS angstrom
3.819 0.000 0.000
0.000 3.819 0.000
0.000 0.000 20.328
```

No. 11
## CeHo4In5 (GGA-PBE)

Data for an optimized crystal structure of CeHo4In5. Values from VASP.

Space-group type: P4/mmm (123)
Electronic total energy: -4.227 eV/atom
ΔE_f: -0.433 eV/atom
Density of states at the Fermi level: 11.5 states/eV per cell
Crystal system: tetragonal

```
&SYSTEM
  ibrav = 0, nat = 10, ntyp = 3
/
ATOMIC_SPECIES
Ce 140.12 Ce.upf
Ho 164.93 Ho.upf
In 114.82 In.upf
ATOMIC_POSITIONS crystal
Ce 0.000 0.000 0.000
Ho 0.000 0.000 0.205
Ho 0.000 0.000 0.401
Ho 0.000 0.000 0.599
Ho 0.000 0.000 0.795
In 0.500 0.500 0.106
In 0.500 0.500 0.303
In 0.500 0.500 0.500
In 0.500 0.500 0.697
In 0.500 0.500 0.894
CELL_PARAMETERS angstrom
3.565 0.000 0.000
0.000 3.565 0.000
0.000 0.000 20.972
```

No. 12
## CeHo8In2 (GGA-PBE)

Data for an optimized crystal structure of CeHo8In2. Values from VASP.

Space-group type: C2/m (12)
Electronic total energy: -4.376 eV/atom
ΔE_f: -0.009 eV/atom
Density of states at the Fermi level: 18.4 states/eV per cell
Crystal system: monoclinic

```
&SYSTEM
  ibrav = 0, nat = 11, ntyp = 3
/
ATOMIC_SPECIES
Ce 140.12 Ce.upf
Ho 164.93 Ho.upf
In 114.82 In.upf
ATOMIC_POSITIONS crystal
Ce 0.000 0.000 0.000
Ho 0.158 0.643 0.305
Ho 0.215 0.215 0.375
Ho 0.357 0.842 0.695
Ho 0.417 0.417 0.784
Ho 0.583 0.583 0.216
Ho 0.643 0.158 0.305
Ho 0.785 0.785 0.625
Ho 0.842 0.357 0.695
In 0.254 0.254 0.927
In 0.746 0.746 0.073
CELL_PARAMETERS angstrom
8.254 -3.309 0.000
8.254 3.309 0.000
-1.827 0.000 6.184
```

No. 13
## CeHo4In2 (GGA-PBE)

Data for an optimized crystal structure of CeHo4In2. Values from VASP.

Space-group type: P2_1/m (11)
Electronic total energy: -4.375 eV/atom
ΔE_f: -0.129 eV/atom
Density of states at the Fermi level: 24.3 states/eV per cell
Crystal system: monoclinic

```
&SYSTEM
  ibrav = 0, nat = 14, ntyp = 3
/
ATOMIC_SPECIES
Ce 140.12 Ce.upf
Ho 164.93 Ho.upf
In 114.82 In.upf
ATOMIC_POSITIONS crystal
Ce 0.245 0.250 0.329
Ce 0.755 0.750 0.671
Ho 0.033 0.750 0.516
Ho 0.110 0.250 0.909
Ho 0.425 0.003 0.766
Ho 0.425 0.497 0.766
Ho 0.575 0.503 0.234
Ho 0.575 0.997 0.234
Ho 0.890 0.750 0.091
Ho 0.967 0.250 0.484
In 0.201 0.750 0.955
In 0.330 0.750 0.386
In 0.670 0.250 0.614
In 0.799 0.250 0.045
CELL_PARAMETERS angstrom
8.185 0.000 0.000
0.000 6.623 0.000
-3.929 0.000 7.510
```

No. 14
## Ce3Ho2In6 (GGA-PBE)

Data for an optimized crystal structure of Ce3Ho2In6. Values from VASP.

Space-group type: I4/mmm (139)
Electronic total energy: -3.848 eV/atom
ΔE_f: 0.097 eV/atom
Density of states at the Fermi level: 26.5 states/eV per cell
Crystal system: tetragonal

```
&SYSTEM
  ibrav = 0, nat = 11, ntyp = 3
/
ATOMIC_SPECIES
Ce 140.12 Ce.upf
Ho 164.93 Ho.upf
In 114.82 In.upf
ATOMIC_POSITIONS crystal
Ce 0.000 0.000 0.000
Ce 0.141 0.141 0.000
Ce 0.859 0.859 0.000
Ho 0.425 0.425 0.000
Ho 0.575 0.575 0.000
In 0.069 0.569 0.500
In 0.287 0.287 0.000
In 0.431 0.931 0.500
In 0.569 0.069 0.500
In 0.713 0.713 0.000
In 0.931 0.431 0.500
CELL_PARAMETERS angstrom
-2.945 2.945 11.038
2.945 -2.945 11.038
2.945 2.945 -11.038
```

No. 15
## CeHo6In5 (GGA-PBE)

Data for an optimized crystal structure of CeHo6In5. Values from VASP.

Space-group type: Cmmm (65)
Electronic total energy: -4.276 eV/atom
ΔE_f: -0.352 eV/atom
Density of states at the Fermi level: 16.0 states/eV per cell
Crystal system: orthorhombic

```
&SYSTEM
  ibrav = 0, nat = 12, ntyp = 3
/
ATOMIC_SPECIES
Ce 140.12 Ce.upf
Ho 164.93 Ho.upf
In 114.82 In.upf
ATOMIC_POSITIONS crystal
Ce 0.000 0.000 0.000
Ho 0.171 0.829 0.244
Ho 0.171 0.829 0.756
Ho 0.500 0.500 0.270
Ho 0.500 0.500 0.730
Ho 0.829 0.171 0.244
Ho 0.829 0.171 0.756
In 0.000 0.000 0.500
In 0.329 0.671 0.500
In 0.350 0.650 0.000
In 0.650 0.350 0.000
In 0.671 0.329 0.500
CELL_PARAMETERS angstrom
2.622 -8.011 0.000
2.622 8.011 0.000
0.000 0.000 7.780
```

No. 16
## CeHo6In (GGA-PBE)

Data for an optimized crystal structure of CeHo6In. Values from VASP.

Space-group type: C2/m (12)
Electronic total energy: -4.404 eV/atom
E above lowest polymorph: 194 meV/atom
ΔE_f: 0.114 eV/atom
Density of states at the Fermi level: 27.5 states/eV per cell
Crystal system: monoclinic

```
&SYSTEM
  ibrav = 0, nat = 16, ntyp = 3
/
ATOMIC_SPECIES
Ce 140.12 Ce.upf
Ho 164.93 Ho.upf
In 114.82 In.upf
ATOMIC_POSITIONS crystal
Ce 0.000 0.000 0.000
Ce 0.500 0.500 0.000
Ho 0.058 0.500 0.254
Ho 0.192 0.217 0.250
Ho 0.192 0.783 0.250
Ho 0.308 0.283 0.750
Ho 0.308 0.717 0.750
Ho 0.442 0.000 0.746
Ho 0.558 0.000 0.254
Ho 0.692 0.283 0.250
Ho 0.692 0.717 0.250
Ho 0.808 0.217 0.750
Ho 0.808 0.783 0.750
Ho 0.942 0.500 0.746
In 0.000 0.000 0.500
In 0.500 0.500 0.500
CELL_PARAMETERS angstrom
6.452 0.000 0.000
0.000 11.487 0.000
-0.196 0.000 6.534
```

No. 17
## Ce3Ho2In2 (GGA-PBE)

Data for an optimized crystal structure of Ce3Ho2In2. Values from VASP.

Space-group type: C2/m (12)
Electronic total energy: -4.814 eV/atom
ΔE_f: -0.180 eV/atom
Density of states at the Fermi level: 35.5 states/eV per cell
Crystal system: monoclinic

```
&SYSTEM
  ibrav = 0, nat = 14, ntyp = 3
/
ATOMIC_SPECIES
Ce 140.12 Ce.upf
Ho 164.93 Ho.upf
In 114.82 In.upf
ATOMIC_POSITIONS crystal
Ce 0.000 0.000 0.000
Ce 0.117 0.000 0.433
Ce 0.383 0.500 0.567
Ce 0.500 0.500 0.000
Ce 0.617 0.500 0.433
Ce 0.883 0.000 0.567
Ho 0.218 0.500 0.150
Ho 0.282 0.000 0.850
Ho 0.718 0.000 0.150
Ho 0.782 0.500 0.850
In 0.087 0.500 0.728
In 0.413 0.000 0.272
In 0.587 0.000 0.728
In 0.913 0.500 0.272
CELL_PARAMETERS angstrom
10.791 0.000 0.000
0.000 4.757 0.000
-0.769 0.000 7.673
```

No. 18
## CeHo4In (GGA-PBE)

Data for an optimized crystal structure of CeHo4In. Values from VASP.

Space-group type: Cmc2_1 (36)
Electronic total energy: -4.596 eV/atom
ΔE_f: -0.098 eV/atom
Density of states at the Fermi level: 21.6 states/eV per cell
Crystal system: orthorhombic

```
&SYSTEM
  ibrav = 0, nat = 12, ntyp = 3
/
ATOMIC_SPECIES
Ce 140.12 Ce.upf
Ho 164.93 Ho.upf
In 114.82 In.upf
ATOMIC_POSITIONS crystal
Ce 0.169 0.831 0.500
Ce 0.831 0.169 0.000
Ho 0.006 0.994 0.756
Ho 0.168 0.832 0.013
Ho 0.325 0.675 0.760
Ho 0.500 0.500 0.008
Ho 0.500 0.500 0.508
Ho 0.675 0.325 0.260
Ho 0.832 0.168 0.513
Ho 0.994 0.006 0.256
In 0.336 0.664 0.258
In 0.664 0.336 0.758
CELL_PARAMETERS angstrom
2.403 -7.342 0.000
2.403 7.342 0.000
0.000 0.000 9.890
```

No. 19
## Ce5HoIn6 (GGA-PBE)

Data for an optimized crystal structure of Ce5HoIn6. Values from VASP.

Space-group type: C2/m (12)
Electronic total energy: -4.601 eV/atom
ΔE_f: -0.378 eV/atom
Density of states at the Fermi level: 29.6 states/eV per cell
Crystal system: monoclinic

```
&SYSTEM
  ibrav = 0, nat = 12, ntyp = 3
/
ATOMIC_SPECIES
Ce 140.12 Ce.upf
Ho 164.93 Ho.upf
In 114.82 In.upf
ATOMIC_POSITIONS crystal
Ce 0.000 0.000 0.000
Ce 0.164 0.164 0.660
Ce 0.323 0.323 0.344
Ce 0.677 0.677 0.656
Ce 0.836 0.836 0.340
Ho 0.500 0.500 0.000
In 0.095 0.575 0.841
In 0.269 0.731 0.500
In 0.425 0.905 0.159
In 0.575 0.095 0.841
In 0.731 0.269 0.500
In 0.905 0.425 0.159
CELL_PARAMETERS angstrom
8.077 -3.547 0.000
8.077 3.547 0.000
-0.054 0.000 5.702
```

No. 20
## CeHo5In3 (GGA-PBE)

Data for an optimized crystal structure of CeHo5In3. Values from VASP.

Space-group type: P6_3/mcm (193)
Electronic total energy: -4.452 eV/atom
ΔE_f: -0.337 eV/atom
Density of states at the Fermi level: 21.6 states/eV per cell
Crystal system: hexagonal

```
&SYSTEM
  ibrav = 0, nat = 18, ntyp = 3
/
ATOMIC_SPECIES
Ce 140.12 Ce.upf
Ho 164.93 Ho.upf
In 114.82 In.upf
ATOMIC_POSITIONS crystal
Ce 0.000 0.000 0.000
Ce 0.000 0.000 0.500
Ho 0.000 0.326 0.250
Ho 0.000 0.674 0.750
Ho 0.326 0.000 0.250
Ho 0.326 0.326 0.750
Ho 0.333 0.667 0.000
Ho 0.333 0.667 0.500
Ho 0.667 0.333 0.000
Ho 0.667 0.333 0.500
Ho 0.674 0.000 0.750
Ho 0.674 0.674 0.250
In 0.000 0.342 0.750
In 0.000 0.658 0.250
In 0.342 0.000 0.750
In 0.342 0.342 0.250
In 0.658 0.000 0.250
In 0.658 0.658 0.750
CELL_PARAMETERS angstrom
9.332 0.000 0.000
-4.666 8.081 0.000
0.000 0.000 6.680
```